Record 1
LiSc3Tl | PBE | optimized geometry

Cell lengths 4.934, 4.934, 4.934 Å; angles 90.00, 90.00, 90.00 degrees
Last column: magnetic moment on the atom in μB.
Fractional coordinates of all 5 atoms:
1 Tl 0.500 0.500 0.500  0.00
2 Li 0.000 0.000 0.000  0.09
3 Sc 0.500 0.000 0.000  0.50
4 Sc 0.000 0.500 0.000  0.41
5 Sc 0.000 0.000 0.500  0.28

Results
As for the total DFT energy (no corrections): -21.27 eV for the cell shown. Its symmetry is Pm-3m, No. 221. The formation energy comes out at 0.40 eV per atom.

***

Record 2
LiScTl | PBE | optimized geometry

Cell lengths 4.752, 4.752, 3.253 Å; angles 90.00, 90.00, 120.00 degrees
Last column: magnetic moment on the atom in μB.
Fractional coordinates of all 3 atoms:
1 Li 0.000 0.000 0.833  0.00
2 Sc 0.333 0.667 0.333  0.14
3 Tl 0.667 0.333 0.833  0.00

Results
As for the total DFT energy (no corrections): -11.26 eV for the cell shown. Its symmetry is P-6m2, No. 187. As for the energy relative to the lowest polymorph listed for this composition: 22.3 meV/atom. The formation energy comes out at -0.22 eV per atom.